No. 1
First-principles (meta-GGA SCAN) data for a PBEsol-optimized structure of CaTlRh2, as listed in the Alexandria database.

Cell and atoms, written as CIF:
```
data_CaTlRh2
_space_group_name_H-M_alt 'P 4/m m m'
_space_group_IT_number 123
_space_group_name_Hall '-P 4 2'
_cell_length_a 4.5574
_cell_length_b 4.5574
_cell_length_c 3.3617
_cell_angle_alpha 90.00
_cell_angle_beta 90.00
_cell_angle_gamma 90.00
loop_
_atom_site_label
_atom_site_fract_x
_atom_site_fract_y
_atom_site_fract_z
_atom_site_occupancy
Ca1 0.0000 0.0000 0.0000 1
Tl1 0.5000 0.5000 0.0000 1
Rh1 0.0000 0.5000 0.5000 1
```

Computed properties:
* E_form: -236 meV/atom
* crystal system: tetragonal

No. 2
First-principles (meta-GGA SCAN) data for a PBEsol-optimized structure of CoTeO2, as listed in the Alexandria database.

Cell and atoms, written as CIF:
```
data_CoTeO2
_space_group_name_H-M_alt 'I -4 2 d'
_space_group_IT_number 122
_space_group_name_Hall 'I -4 2bw'
_cell_length_a 5.1766
_cell_length_b 5.1766
_cell_length_c 8.5062
_cell_angle_alpha 90.00
_cell_angle_beta 90.00
_cell_angle_gamma 90.00
loop_
_atom_site_label
_atom_site_fract_x
_atom_site_fract_y
_atom_site_fract_z
_atom_site_occupancy
Co1 0.0000 0.0000 0.0000 1
Te1 0.0000 0.0000 0.5000 1
O1 0.1560 0.7500 0.1250 1
```

Computed properties:
* total DFT energy (no corrections): -17.226 eV/atom
* crystal system: tetragonal

No. 3
First-principles (meta-GGA SCAN) data for a PBEsol-optimized structure of Ta4AgCl, as listed in the Alexandria database.

Cell and atoms, written as CIF:
```
data_Ta4AgCl
_space_group_name_H-M_alt 'F -4 3 m'
_space_group_IT_number 216
_space_group_name_Hall 'F -4 2 3'
_cell_length_a 7.7093
_cell_length_b 7.7093
_cell_length_c 7.7093
_cell_angle_alpha 90.00
_cell_angle_beta 90.00
_cell_angle_gamma 90.00
loop_
_atom_site_label
_atom_site_fract_x
_atom_site_fract_y
_atom_site_fract_z
_atom_site_occupancy
Ta1 0.1233 0.1233 0.1233 1
Ag1 0.2500 0.2500 0.7500 1
Cl1 0.0000 0.0000 0.5000 1
```

Computed properties:
* total DFT energy (no corrections): -50.076 eV/atom
* crystal system: cubic

No. 4
First-principles (meta-GGA SCAN) data for a PBEsol-optimized structure of LiZnPO4, as listed in the Alexandria database.

Cell and atoms, written as CIF:
```
data_LiZnPO4
_space_group_name_H-M_alt 'R 3'
_space_group_IT_number 146
_space_group_name_Hall 'R 3'
_cell_length_a 13.6777
_cell_length_b 13.6777
_cell_length_c 9.0920
_cell_angle_alpha 90.00
_cell_angle_beta 90.00
_cell_angle_gamma 120.00
loop_
_atom_site_label
_atom_site_fract_x
_atom_site_fract_y
_atom_site_fract_z
_atom_site_occupancy
Li1 0.0134 0.8064 0.0000 1
Li2 0.1412 0.4540 0.1639 1
Zn1 0.0197 0.8067 0.3326 1
Zn2 0.1391 0.4584 0.4973 1
P1 0.0119 0.8022 0.6665 1
P2 0.1368 0.4564 0.8316 1
O1 0.0054 0.6859 0.6648 1
O2 0.0183 0.3495 0.8338 1
O3 0.0717 0.8679 0.8074 1
O4 0.0760 0.8713 0.5281 1
O5 0.1071 0.2137 0.1644 1
O6 0.2018 0.4601 0.6902 1
O7 0.2046 0.4591 0.9697 1
O8 0.2183 0.1077 0.6652 1
```

Computed properties:
* energy relative to the lowest polymorph listed for this composition: 0.0 meV/atom
* crystal system: trigonal

No. 5
First-principles (meta-GGA SCAN) data for a PBEsol-optimized structure of ZrScOs4, as listed in the Alexandria database.

Cell and atoms, written as CIF:
```
data_ZrScOs4
_space_group_name_H-M_alt 'F -4 3 m'
_space_group_IT_number 216
_space_group_name_Hall 'F -4 2 3'
_cell_length_a 7.3331
_cell_length_b 7.3331
_cell_length_c 7.3331
_cell_angle_alpha 90.00
_cell_angle_beta 90.00
_cell_angle_gamma 90.00
loop_
_atom_site_label
_atom_site_fract_x
_atom_site_fract_y
_atom_site_fract_z
_atom_site_occupancy
Zr1 0.0000 0.0000 0.0000 1
Sc1 0.2500 0.2500 0.2500 1
Os1 0.1248 0.1248 0.6248 1
```

Computed properties:
* E_form: -485 meV/atom
* crystal system: cubic

No. 6
First-principles (meta-GGA SCAN) data for a PBEsol-optimized structure of SnSbO4, as listed in the Alexandria database.

Cell and atoms, written as CIF:
```
data_SnSbO4
_space_group_name_H-M_alt 'C m m m'
_space_group_IT_number 65
_space_group_name_Hall '-C 2 2'
_cell_length_a 6.8210
_cell_length_b 6.8517
_cell_length_c 3.3076
_cell_angle_alpha 90.00
_cell_angle_beta 90.00
_cell_angle_gamma 90.00
loop_
_atom_site_label
_atom_site_fract_x
_atom_site_fract_y
_atom_site_fract_z
_atom_site_occupancy
Sn1 0.0000 0.0000 0.0000 1
Sb1 0.0000 0.5000 0.5000 1
O1 0.0000 0.1909 0.5000 1
O2 0.1925 0.5000 0.0000 1
```

Computed properties:
* total DFT energy (no corrections): -17.856 eV/atom
* crystal system: orthorhombic

No. 7
First-principles (meta-GGA SCAN) data for a PBEsol-optimized structure of YMg2Sc, as listed in the Alexandria database.

Cell and atoms, written as CIF:
```
data_YMg2Sc
_space_group_name_H-M_alt 'C 1 m 1'
_space_group_IT_number 8
_cell_length_a 11.8000
_cell_length_b 3.5335
_cell_length_c 5.3049
_cell_angle_alpha 90.00
_cell_angle_beta 116.28
_cell_angle_gamma 90.00
loop_
_space_group_symop_operation_xyz
'x,y,z'
'x,-y,z'
'x+1/2,y+1/2,z'
'x+1/2,-y+1/2,z'
loop_
_atom_site_label
_atom_site_fract_x
_atom_site_fract_y
_atom_site_fract_z
_atom_site_occupancy
Y1 0.0000 0.0000 0.0000 1
Mg1 0.0139 0.5000 0.5130 1
Mg2 0.2381 0.0000 0.7398 1
Sc1 0.2671 0.5000 0.2683 1
```

Computed properties:
* E_form: -27 meV/atom
* energy relative to the lowest polymorph listed for this composition: 57.6 meV/atom
* crystal system: monoclinic

No. 8
First-principles (meta-GGA SCAN) data for a PBEsol-optimized structure of Ba3LiAu, as listed in the Alexandria database.

Cell and atoms, written as CIF:
```
data_Ba3LiAu
_space_group_name_H-M_alt 'P m -3 m'
_space_group_IT_number 221
_space_group_name_Hall '-P 4 2 3'
_cell_length_a 6.3267
_cell_length_b 6.3267
_cell_length_c 6.3267
_cell_angle_alpha 90.00
_cell_angle_beta 90.00
_cell_angle_gamma 90.00
loop_
_atom_site_label
_atom_site_fract_x
_atom_site_fract_y
_atom_site_fract_z
_atom_site_occupancy
Ba1 0.0000 0.0000 0.5000 1
Li1 0.5000 0.5000 0.5000 1
Au1 0.0000 0.0000 0.0000 1
```

Computed properties:
* E_form: -328 meV/atom
* crystal system: cubic

No. 9
First-principles (meta-GGA SCAN) data for a PBEsol-optimized structure of Ba2TaRu, as listed in the Alexandria database.

Cell and atoms, written as CIF:
```
data_Ba2TaRu
_space_group_name_H-M_alt 'I 4/m m m'
_space_group_IT_number 139
_space_group_name_Hall '-I 4 2'
_cell_length_a 4.2116
_cell_length_b 4.2116
_cell_length_c 11.1183
_cell_angle_alpha 90.00
_cell_angle_beta 90.00
_cell_angle_gamma 90.00
loop_
_atom_site_label
_atom_site_fract_x
_atom_site_fract_y
_atom_site_fract_z
_atom_site_occupancy
Ba1 0.0000 0.5000 0.2500 1
Ta1 0.0000 0.0000 0.0000 1
Ru1 0.0000 0.0000 0.5000 1
```

Computed properties:
* E_form: 1262 meV/atom
* energy relative to the lowest polymorph listed for this composition: 943.4 meV/atom
* crystal system: tetragonal

No. 10
First-principles (meta-GGA SCAN) data for a PBEsol-optimized structure of IrPtCl2, as listed in the Alexandria database.

Cell and atoms, written as CIF:
```
data_IrPtCl2
_space_group_name_H-M_alt 'P 4/m m m'
_space_group_IT_number 123
_space_group_name_Hall '-P 4 2'
_cell_length_a 2.9156
_cell_length_b 2.9156
_cell_length_c 7.3057
_cell_angle_alpha 90.00
_cell_angle_beta 90.00
_cell_angle_gamma 90.00
loop_
_atom_site_label
_atom_site_fract_x
_atom_site_fract_y
_atom_site_fract_z
_atom_site_occupancy
Ir1 0.0000 0.0000 0.0000 1
Pt1 0.0000 0.0000 0.5000 1
Cl1 0.5000 0.5000 0.2288 1
```

Computed properties:
* energy relative to the lowest polymorph listed for this composition: 1352.2 meV/atom
* crystal system: tetragonal

No. 11
First-principles (meta-GGA SCAN) data for a PBEsol-optimized structure of Sc2CrCu, as listed in the Alexandria database.

Cell and atoms, written as CIF:
```
data_Sc2CrCu
_space_group_name_H-M_alt 'F -4 3 m'
_space_group_IT_number 216
_space_group_name_Hall 'F -4 2 3'
_cell_length_a 6.4635
_cell_length_b 6.4635
_cell_length_c 6.4635
_cell_angle_alpha 90.00
_cell_angle_beta 90.00
_cell_angle_gamma 90.00
loop_
_atom_site_label
_atom_site_fract_x
_atom_site_fract_y
_atom_site_fract_z
_atom_site_occupancy
Sc1 0.0000 0.0000 0.0000 1
Sc2 0.2500 0.2500 0.2500 1
Cr1 0.2500 0.2500 0.7500 1
Cu1 0.0000 0.0000 0.5000 1
```

Computed properties:
* E_form: 45 meV/atom
* energy relative to the lowest polymorph listed for this composition: 129.2 meV/atom
* crystal system: cubic

No. 12
First-principles (meta-GGA SCAN) data for a PBEsol-optimized structure of Na2ZrCo, as listed in the Alexandria database.

Cell and atoms, written as CIF:
```
data_Na2ZrCo
_space_group_name_H-M_alt 'I -4 2 d'
_space_group_IT_number 122
_space_group_name_Hall 'I -4 2bw'
_cell_length_a 3.6547
_cell_length_b 3.6547
_cell_length_c 23.0457
_cell_angle_alpha 90.00
_cell_angle_beta 90.00
_cell_angle_gamma 90.00
loop_
_atom_site_label
_atom_site_fract_x
_atom_site_fract_y
_atom_site_fract_z
_atom_site_occupancy
Na1 0.2303 0.2500 0.1250 1
Zr1 0.0000 0.0000 0.5000 1
Co1 0.0000 0.0000 0.0000 1
```

Computed properties:
* E_form: 632 meV/atom
* crystal system: tetragonal

No. 13
First-principles (meta-GGA SCAN) data for a PBEsol-optimized structure of BeAs2Ir, as listed in the Alexandria database.

Cell and atoms, written as CIF:
```
data_BeAs2Ir
_space_group_name_H-M_alt 'P m m m'
_space_group_IT_number 47
_cell_length_a 3.1953
_cell_length_b 4.1899
_cell_length_c 4.3545
_cell_angle_alpha 90.00
_cell_angle_beta 90.00
_cell_angle_gamma 90.00
loop_
_space_group_symop_operation_xyz
'x,y,z'
'-x,-y,-z'
'-x,-y,z'
'x,y,-z'
'x,-y,-z'
'-x,y,z'
'-x,y,-z'
'x,-y,z'
loop_
_atom_site_label
_atom_site_fract_x
_atom_site_fract_y
_atom_site_fract_z
_atom_site_occupancy
Be1 0.0000 0.0000 0.0000 1
As1 0.0000 0.5000 0.5000 1
As2 0.5000 0.0000 0.5000 1
Ir1 0.5000 0.5000 0.0000 1
```

Computed properties:
* E_form: 406 meV/atom
* crystal system: orthorhombic

No. 14
First-principles (meta-GGA SCAN) data for a PBEsol-optimized structure of Rb2PrAgCl6, as listed in the Alexandria database.

Cell and atoms, written as CIF:
```
data_Rb2PrAgCl6
_space_group_name_H-M_alt 'F m -3 m'
_space_group_IT_number 225
_space_group_name_Hall '-F 4 2 3'
_cell_length_a 10.7202
_cell_length_b 10.7202
_cell_length_c 10.7202
_cell_angle_alpha 90.00
_cell_angle_beta 90.00
_cell_angle_gamma 90.00
loop_
_atom_site_label
_atom_site_fract_x
_atom_site_fract_y
_atom_site_fract_z
_atom_site_occupancy
Rb1 0.2500 0.2500 0.2500 1
Pr1 0.0000 0.0000 0.0000 1
Ag1 0.0000 0.0000 0.5000 1
Cl1 0.0000 0.0000 0.2526 1
```

Computed properties:
* total DFT energy (no corrections): -18.405 eV/atom
* crystal system: cubic

No. 15
First-principles (meta-GGA SCAN) data for a PBEsol-optimized structure of Ho2MgPd2, as listed in the Alexandria database.

Cell and atoms, written as CIF:
```
data_Ho2MgPd2
_space_group_name_H-M_alt 'P 4/m b m'
_space_group_IT_number 127
_space_group_name_Hall '-P 4 2ab'
_cell_length_a 7.5519
_cell_length_b 7.5519
_cell_length_c 3.7127
_cell_angle_alpha 90.00
_cell_angle_beta 90.00
_cell_angle_gamma 90.00
loop_
_atom_site_label
_atom_site_fract_x
_atom_site_fract_y
_atom_site_fract_z
_atom_site_occupancy
Ho1 0.1674 0.3326 0.0000 1
Mg1 0.0000 0.0000 0.5000 1
Pd1 0.1322 0.6322 0.5000 1
```

Computed properties:
* E_form: -878 meV/atom
* crystal system: tetragonal

No. 16
First-principles (meta-GGA SCAN) data for a PBEsol-optimized structure of K3Ba, as listed in the Alexandria database.

Cell and atoms, written as CIF:
```
data_K3Ba
_space_group_name_H-M_alt 'P 1 2/m 1'
_space_group_IT_number 10
_cell_length_a 4.3779
_cell_length_b 7.2988
_cell_length_c 8.4581
_cell_angle_alpha 90.00
_cell_angle_beta 98.63
_cell_angle_gamma 90.00
loop_
_space_group_symop_operation_xyz
'x,y,z'
'-x,-y,-z'
'-x,y,-z'
'x,-y,z'
loop_
_atom_site_label
_atom_site_fract_x
_atom_site_fract_y
_atom_site_fract_z
_atom_site_occupancy
K1 0.0000 0.0000 0.0000 1
K2 0.1915 0.5000 0.7483 1
Ba1 0.5000 0.0000 0.5000 1
```

Computed properties:
* E_form: 88 meV/atom
* crystal system: monoclinic

No. 17
First-principles (meta-GGA SCAN) data for a PBEsol-optimized structure of CoBiOF2, as listed in the Alexandria database.

Cell and atoms, written as CIF:
```
data_CoBiOF2
_space_group_name_H-M_alt 'P 4/m m m'
_space_group_IT_number 123
_space_group_name_Hall '-P 4 2'
_cell_length_a 3.5799
_cell_length_b 3.5799
_cell_length_c 5.5674
_cell_angle_alpha 90.00
_cell_angle_beta 90.00
_cell_angle_gamma 90.00
loop_
_atom_site_label
_atom_site_fract_x
_atom_site_fract_y
_atom_site_fract_z
_atom_site_occupancy
Co1 0.0000 0.0000 0.0000 1
Bi1 0.0000 0.0000 0.5000 1
O1 0.5000 0.5000 0.5000 1
F1 0.0000 0.5000 0.0000 1
```

Computed properties:
* total DFT energy (no corrections): -23.083 eV/atom
* crystal system: tetragonal

No. 18
First-principles (meta-GGA SCAN) data for a PBEsol-optimized structure of Sr2CrRu, as listed in the Alexandria database.

Cell and atoms, written as CIF:
```
data_Sr2CrRu
_space_group_name_H-M_alt 'R 3 m'
_space_group_IT_number 160
_space_group_name_Hall 'R 3 -2"'
_cell_length_a 4.0141
_cell_length_b 4.0141
_cell_length_c 25.6630
_cell_angle_alpha 90.00
_cell_angle_beta 90.00
_cell_angle_gamma 120.00
loop_
_atom_site_label
_atom_site_fract_x
_atom_site_fract_y
_atom_site_fract_z
_atom_site_occupancy
Sr1 0.0000 0.0000 0.0000 1
Sr2 0.0000 0.0000 0.1816 1
Cr1 0.0000 0.0000 0.4235 1
Ru1 0.0000 0.0000 0.7582 1
```

Computed properties:
* E_form: 177 meV/atom
* energy relative to the lowest polymorph listed for this composition: 0.0 meV/atom
* crystal system: trigonal

No. 19
First-principles (meta-GGA SCAN) data for a PBEsol-optimized structure of Ca2TlTc, as listed in the Alexandria database.

Cell and atoms, written as CIF:
```
data_Ca2TlTc
_space_group_name_H-M_alt 'P 4/m m m'
_space_group_IT_number 123
_space_group_name_Hall '-P 4 2'
_cell_length_a 5.2183
_cell_length_b 5.2183
_cell_length_c 3.4498
_cell_angle_alpha 90.00
_cell_angle_beta 90.00
_cell_angle_gamma 90.00
loop_
_atom_site_label
_atom_site_fract_x
_atom_site_fract_y
_atom_site_fract_z
_atom_site_occupancy
Ca1 0.0000 0.5000 0.0000 1
Tl1 0.0000 0.0000 0.5000 1
Tc1 0.5000 0.5000 0.5000 1
```

Computed properties:
* E_form: 289 meV/atom
* energy relative to the lowest polymorph listed for this composition: 13.2 meV/atom
* crystal system: tetragonal

No. 20
First-principles (meta-GGA SCAN) data for a PBEsol-optimized structure of Li2CuPt, as listed in the Alexandria database.

Cell and atoms, written as CIF:
```
data_Li2CuPt
_space_group_name_H-M_alt 'I -4 m 2'
_space_group_IT_number 119
_space_group_name_Hall 'I -4 -2'
_cell_length_a 4.1708
_cell_length_b 4.1708
_cell_length_c 5.8773
_cell_angle_alpha 90.00
_cell_angle_beta 90.00
_cell_angle_gamma 90.00
loop_
_atom_site_label
_atom_site_fract_x
_atom_site_fract_y
_atom_site_fract_z
_atom_site_occupancy
Li1 0.0000 0.0000 0.0000 1
Li2 0.0000 0.5000 0.2500 1
Cu1 0.0000 0.5000 0.7500 1
Pt1 0.0000 0.0000 0.5000 1
```

Computed properties:
* E_form: -424 meV/atom
* energy relative to the lowest polymorph listed for this composition: 3.1 meV/atom
* crystal system: tetragonal

In g/cm3, the mass density values for the records above are, in order, 10.71; 6.37; 12.57; 3.40; 15.11; 6.54; 3.06; 4.04; 9.37; 12.25; 5.05; 4.23; 10.00; 3.41; 8.89; 1.58; 7.49; 4.57; 6.76; 8.85.